# 1
# MgPd, relaxed, DFT GGA-PBE
# Theoretical density   6.47 g cm⁻³
# E_tot   -3.83 eV per atom
# Space-group type   P2_1/m
data_MgPd
_chemical_formula_sum 'Mg6 Pd6'
_cell_length_a 6.040
_cell_length_b 4.720
_cell_length_c 7.224
_cell_angle_alpha 90.00
_cell_angle_beta 102.24
_cell_angle_gamma 90.00
_symmetry_space_group_name_H-M 'P 1'
_symmetry_Int_Tables_number 1
_symmetry_space_group_name_Hall 'P 1'
loop_
_atom_site_label
_atom_site_type_symbol
_atom_site_fract_x
_atom_site_fract_y
_atom_site_fract_z
Mg1 Mg 0.135 0.250 0.073
Mg2 Mg 0.295 0.250 0.665
Mg3 Mg 0.353 0.750 0.948
Mg4 Mg 0.647 0.250 0.052
Mg5 Mg 0.705 0.750 0.335
Mg6 Mg 0.865 0.750 0.927
Pd1 Pd 0.046 0.750 0.628
Pd2 Pd 0.187 0.750 0.271
Pd3 Pd 0.479 0.250 0.363
Pd4 Pd 0.521 0.750 0.637
Pd5 Pd 0.813 0.250 0.729
Pd6 Pd 0.954 0.250 0.372


# 2
# SbPt15, relaxed, DFT GGA-PBE
# Energy relative to the lowest polymorph listed for this composition   0.19 eV/f.u.
# Theoretical density   13.65 g cm⁻³
# Space-group type   P2_1/m
data_SbPt15
_chemical_formula_sum 'Sb2 Pt30'
_cell_length_a 5.549
_cell_length_b 3.962
_cell_length_c 33.726
_cell_angle_alpha 90.00
_cell_angle_beta 90.02
_cell_angle_gamma 90.00
_symmetry_space_group_name_H-M 'P 1'
_symmetry_Int_Tables_number 1
_symmetry_space_group_name_Hall 'P 1'
loop_
_atom_site_label
_atom_site_type_symbol
_atom_site_fract_x
_atom_site_fract_y
_atom_site_fract_z
Sb1 Sb 0.123 0.250 0.316
Sb2 Sb 0.877 0.750 0.684
Pt1 Pt 0.122 0.250 0.812
Pt2 Pt 0.123 0.250 0.724
Pt3 Pt 0.124 0.250 0.895
Pt4 Pt 0.125 0.250 0.062
Pt5 Pt 0.125 0.250 0.232
Pt6 Pt 0.125 0.250 0.979
Pt7 Pt 0.126 0.250 0.146
Pt8 Pt 0.374 0.750 0.188
Pt9 Pt 0.374 0.750 0.275
Pt10 Pt 0.374 0.750 0.771
Pt11 Pt 0.374 0.750 0.854
Pt12 Pt 0.375 0.750 0.021
Pt13 Pt 0.375 0.750 0.104
Pt14 Pt 0.375 0.750 0.937
Pt15 Pt 0.379 0.750 0.689
Pt16 Pt 0.621 0.250 0.311
Pt17 Pt 0.625 0.250 0.063
Pt18 Pt 0.625 0.250 0.896
Pt19 Pt 0.625 0.250 0.979
Pt20 Pt 0.626 0.250 0.146
Pt21 Pt 0.626 0.250 0.229
Pt22 Pt 0.626 0.250 0.725
Pt23 Pt 0.626 0.250 0.812
Pt24 Pt 0.874 0.750 0.854
Pt25 Pt 0.875 0.750 0.021
Pt26 Pt 0.875 0.750 0.768
Pt27 Pt 0.875 0.750 0.938
Pt28 Pt 0.876 0.750 0.105
Pt29 Pt 0.877 0.750 0.276
Pt30 Pt 0.878 0.750 0.188


# 3
# TbGd2Ni2B2P3, relaxed, DFT GGA-PBE
# Theoretical density   7.00 g cm⁻³
# E_tot   -6.38 eV per atom
# Space-group type   I4/mmm
data_TbGd2Ni2B2P3
_chemical_formula_sum 'Tb1 Gd2 Ni2 B2 P3'
_cell_length_a 11.034
_cell_length_b 11.034
_cell_length_c 11.034
_cell_angle_alpha 159.33
_cell_angle_beta 159.33
_cell_angle_gamma 29.40
_symmetry_space_group_name_H-M 'P 1'
_symmetry_Int_Tables_number 1
_symmetry_space_group_name_Hall 'P 1'
loop_
_atom_site_label
_atom_site_type_symbol
_atom_site_fract_x
_atom_site_fract_y
_atom_site_fract_z
Tb1 Tb 0.000 0.000 0.000
Gd1 Gd 0.362 0.362 0.000
Gd2 Gd 0.638 0.638 0.000
Ni1 Ni 0.250 0.750 0.500
Ni2 Ni 0.750 0.250 0.500
B1 B 0.219 0.219 0.000
B2 B 0.781 0.781 0.000
P1 P 0.129 0.129 0.000
P2 P 0.500 0.500 0.000
P3 P 0.871 0.871 0.000


# 4
# YNpGa, relaxed, DFT GGA-PBE
# Energy relative to the lowest polymorph listed for this composition   0.00 eV/f.u.
# Theoretical density   7.99 g cm⁻³
# Space-group type   F-43m
data_YNpGa
_chemical_formula_sum 'Y1 Np1 Ga1'
_cell_length_a 4.881
_cell_length_b 4.881
_cell_length_c 4.881
_cell_angle_alpha 60.00
_cell_angle_beta 60.00
_cell_angle_gamma 60.00
_symmetry_space_group_name_H-M 'P 1'
_symmetry_Int_Tables_number 1
_symmetry_space_group_name_Hall 'P 1'
loop_
_atom_site_label
_atom_site_type_symbol
_atom_site_fract_x
_atom_site_fract_y
_atom_site_fract_z
Y1 Y 0.000 0.000 0.000
Np1 Np 0.250 0.250 0.250
Ga1 Ga 0.750 0.750 0.750


# 5
# Zr3Zn3IrAu2, relaxed, DFT GGA-PBE
# Theoretical density   10.89 g cm⁻³
# DFT formation energy   -491 meV per atom
# Space-group type   P-62m
data_Zr3Zn3IrAu2
_chemical_formula_sum 'Zr3 Zn3 Ir1 Au2'
_cell_length_a 7.591
_cell_length_b 7.591
_cell_length_c 3.228
_cell_angle_alpha 90.00
_cell_angle_beta 90.00
_cell_angle_gamma 120.00
_symmetry_space_group_name_H-M 'P 1'
_symmetry_Int_Tables_number 1
_symmetry_space_group_name_Hall 'P 1'
loop_
_atom_site_label
_atom_site_type_symbol
_atom_site_fract_x
_atom_site_fract_y
_atom_site_fract_z
Zr1 Zr 0.000 0.365 0.000
Zr2 Zr 0.365 0.000 0.000
Zr3 Zr 0.635 0.635 0.000
Zn1 Zn 0.000 0.714 0.500
Zn2 Zn 0.286 0.286 0.500
Zn3 Zn 0.714 0.000 0.500
Ir1 Ir 0.000 0.000 0.000
Au1 Au 0.333 0.667 0.500
Au2 Au 0.667 0.333 0.500


# 6
# SmPb2Se3, relaxed, DFT GGA-PBE
# Theoretical density   7.50 g cm⁻³
# E_tot   -4.73 eV per atom
# Space-group type   P-3m1
data_SmPb2Se3
_chemical_formula_sum 'Sm1 Pb2 Se3'
_cell_length_a 4.154
_cell_length_b 4.154
_cell_length_c 11.872
_cell_angle_alpha 90.00
_cell_angle_beta 90.00
_cell_angle_gamma 120.00
_symmetry_space_group_name_H-M 'P 1'
_symmetry_Int_Tables_number 1
_symmetry_space_group_name_Hall 'P 1'
loop_
_atom_site_label
_atom_site_type_symbol
_atom_site_fract_x
_atom_site_fract_y
_atom_site_fract_z
Sm1 Sm 0.000 0.000 0.000
Pb1 Pb 0.333 0.667 0.661
Pb2 Pb 0.667 0.333 0.339
Se1 Se 0.000 0.000 0.500
Se2 Se 0.333 0.667 0.141
Se3 Se 0.667 0.333 0.859


# 7
# ZnICl, relaxed, DFT GGA-PBE
# Energy relative to the lowest polymorph listed for this composition   0.03 eV/f.u.
# Theoretical density   3.88 g cm⁻³
# Space-group type   P4_2mc
data_ZnICl
_chemical_formula_sum 'Zn2 I2 Cl2'
_cell_length_a 4.008
_cell_length_b 4.008
_cell_length_c 12.150
_cell_angle_alpha 90.00
_cell_angle_beta 90.00
_cell_angle_gamma 90.00
_symmetry_space_group_name_H-M 'P 1'
_symmetry_Int_Tables_number 1
_symmetry_space_group_name_Hall 'P 1'
loop_
_atom_site_label
_atom_site_type_symbol
_atom_site_fract_x
_atom_site_fract_y
_atom_site_fract_z
Zn1 Zn 0.000 0.500 0.000
Zn2 Zn 0.500 0.000 0.500
I1 I 0.000 0.000 0.363
I2 I 0.000 0.000 0.863
Cl1 Cl 0.500 0.500 0.104
Cl2 Cl 0.500 0.500 0.604


# 8
# Dy4CoB13, relaxed, DFT GGA-PBE
# Theoretical density   7.67 g cm⁻³
# E_tot   -6.72 eV per atom
# Space-group type   P4/mnc
data_Dy4CoB13
_chemical_formula_sum 'Dy8 Co2 B26'
_cell_length_a 7.299
_cell_length_b 7.299
_cell_length_c 6.903
_cell_angle_alpha 90.00
_cell_angle_beta 90.00
_cell_angle_gamma 90.00
_symmetry_space_group_name_H-M 'P 1'
_symmetry_Int_Tables_number 1
_symmetry_space_group_name_Hall 'P 1'
loop_
_atom_site_label
_atom_site_type_symbol
_atom_site_fract_x
_atom_site_fract_y
_atom_site_fract_z
Dy1 Dy 0.181 0.316 0.000
Dy2 Dy 0.184 0.319 0.500
Dy3 Dy 0.316 0.819 0.000
Dy4 Dy 0.319 0.816 0.500
Dy5 Dy 0.681 0.184 0.500
Dy6 Dy 0.684 0.181 0.000
Dy7 Dy 0.816 0.681 0.500
Dy8 Dy 0.819 0.684 0.000
Co1 Co 0.000 0.000 0.500
Co2 Co 0.500 0.500 0.000
B1 B 0.000 0.000 0.000
B2 B 0.039 0.830 0.246
B3 B 0.039 0.830 0.754
B4 B 0.091 0.591 0.250
B5 B 0.091 0.591 0.750
B6 B 0.170 0.039 0.246
B7 B 0.170 0.039 0.754
B8 B 0.330 0.539 0.254
B9 B 0.330 0.539 0.746
B10 B 0.409 0.091 0.250
B11 B 0.409 0.091 0.750
B12 B 0.461 0.330 0.254
B13 B 0.461 0.330 0.746
B14 B 0.500 0.500 0.500
B15 B 0.539 0.670 0.254
B16 B 0.539 0.670 0.746
B17 B 0.591 0.909 0.250
B18 B 0.591 0.909 0.750
B19 B 0.670 0.461 0.254
B20 B 0.670 0.461 0.746
B21 B 0.830 0.961 0.246
B22 B 0.830 0.961 0.754
B23 B 0.909 0.409 0.250
B24 B 0.909 0.409 0.750
B25 B 0.961 0.170 0.246
B26 B 0.961 0.170 0.754


> theoretical density of number 1 (MgPd)?

6.47 g cm⁻³


> Number 2 is which compound?

SbPt15


> Among the records above, which one has the highest theoretical density?

SbPt15


> What is the theoretical density in the first record?

6.47 g cm⁻³